CrPbS2 after structural relaxation. Source: Alexandria, functional PBE-GGA.

POSCAR file:
```
CrPbS2
1.0
3.972 0.000 0.000
0.000 3.972 0.000
0.000 0.000 5.594
Cr Pb S
1 1 2
Direct
0.000 0.000 0.000
0.500 0.500 0.500
0.000 0.000 0.500
0.500 0.500 0.000
```

## Properties
Crystal system: tetragonal
D(E_F), states/eV per cell: 1.550
Space-group type: P4/mmm
Formation energy from raw total energies, eV per atom: -0.245